1.
This record from the Alexandria database describes crystalline KAs3P at its relaxed geometry. The functional is PBE.

Lattice parameters (Å, degrees): 4.9738 4.9738 4.9738 90.00 90.00 90.00
Last column: nearest neighbours and their distance in Å.
Element x y z (fractional)
K  0.0000  0.0000  0.0000  12 As 3.52
As  0.0000  0.5000  0.5000  2 P 2.49
As  0.5000  0.0000  0.5000  2 P 2.49
As  0.5000  0.5000  0.0000  2 P 2.49
P  0.5000  0.5000  0.5000  6 As 2.49

Values from the calculation:
* ρ: 3.98 Mg/m³
* space group: Pm-3m
* Fermi-level density of states: 1.070 states/eV per atom
* total DFT energy (no corrections): -18.69 eV per formula unit

=====

2.
This record from the Alexandria database describes crystalline KAs2P at its relaxed geometry. The functional is PBE.

Lattice parameters (Å, degrees): 5.3496 5.3496 6.0429 109.38 109.38 38.00
Last column: nearest neighbours and their distance in Å.
Element x y z (fractional)
K  0.0000  0.0000  0.0000  2 K 3.48, 4 P 3.49, 8 As 3.51-3.61
As  0.1944  0.1944  0.6091  2 P 2.53, 2 As 2.66
As  0.8056  0.8056  0.3909  2 P 2.53, 2 As 2.66
P  0.5000  0.5000  0.5000  4 As 2.53

Values from the calculation:
* ρ: 3.66 Mg/m³
* space group: C2/m
* Fermi-level density of states: 0.335 states/eV per atom
* total DFT energy (no corrections): -16.09 eV per formula unit

=====

3.
This record from the Alexandria database describes crystalline KAsP at its relaxed geometry. The functional is PBE.

Lattice parameters (Å, degrees): 4.3529 4.3529 10.1510 90.00 90.00 120.00
Last column: nearest neighbours and their distance in Å.
Element x y z (fractional)
K  0.0000  0.0000  0.0000  6 As 3.57, 6 P 3.57
K  0.0000  0.0000  0.5000  6 As 3.57, 6 P 3.57
As  0.3333  0.6667  0.2500  3 P 2.51
As  0.6667  0.3333  0.7500  3 P 2.51
P  0.3333  0.6667  0.7500  3 As 2.51
P  0.6667  0.3333  0.2500  3 As 2.51

Values from the calculation:
* ρ: 2.89 Mg/m³
* space group: P6_3/mmc
* Fermi-level density of states: 0.375 states/eV per atom
* total DFT energy (no corrections): -11.69 eV per formula unit

=====

4.
This record from the Alexandria database describes crystalline KAsP2 at its relaxed geometry. The functional is PBE.

Lattice parameters (Å, degrees): 4.9145 4.9145 4.9145 60.00 60.00 60.00
Last column: nearest neighbours and their distance in Å.
Element x y z (fractional)
K  0.0000  0.0000  0.0000  4 As 3.01, 4 P 3.01
As  0.7500  0.7500  0.7500  4 P 3.01, 4 K 3.01
P  0.2500  0.2500  0.2500  4 P 3.01, 4 K 3.01
P  0.5000  0.5000  0.5000  4 As 3.01, 4 P 3.01

Values from the calculation:
* ρ: 3.48 Mg/m³
* space group: F-43m
* Fermi-level density of states: 0.331 states/eV per atom
* total DFT energy (no corrections): -13.83 eV per formula unit

=====

5.
This record from the Alexandria database describes crystalline KAs2P at its relaxed geometry. The functional is PBE.

Lattice parameters (Å, degrees): 5.9311 5.9311 5.9311 147.14 119.30 70.77
Last column: nearest neighbours and their distance in Å.
Element x y z (fractional)
K  0.0000  0.0000  0.0000  2 K 3.36, 4 P 3.38-3.55, 8 As 3.44-3.50
As  0.3135  0.8135  0.5000  2 As 2.63
As  0.5228  0.5228  0.0000  2 P 2.37, 2 As 2.63
P  0.6965  0.1965  0.5000  2 As 2.37

Values from the calculation:
* ρ: 3.76 Mg/m³
* space group: Imm2
* Fermi-level density of states: 0.474 states/eV per atom
* total DFT energy (no corrections): -15.19 eV per formula unit

=====

6.
This record from the Alexandria database describes crystalline K2AsP at its relaxed geometry. The functional is PBE.

Lattice parameters (Å, degrees): 5.9007 5.9007 3.2199 90.00 90.00 119.05
Last column: nearest neighbours and their distance in Å.
Element x y z (fractional)
K  0.0000  0.5000  0.0000  4 K 2.99-3.22
K  0.5000  0.0000  0.0000  4 K 2.99-3.22
As  0.0000  0.0000  0.5000  2 P 2.99, 2 As 3.22
P  0.5000  0.5000  0.5000  2 As 2.99, 2 P 3.22

Values from the calculation:
* ρ: 3.12 Mg/m³
* space group: Cmmm
* Fermi-level density of states: 0.289 states/eV per atom
* total DFT energy (no corrections): -12.18 eV per formula unit